The following is a PBE with a Hubbard U calculation of a geometry-optimized BeV2HgO6 structure, from Alexandria.

Properties
M_tot = 0.0000 μB/atom
Uncorrected energy = -265.4 eV for the cell shown

Lattice parameters (Å, degrees): 10.005 11.712 6.084 90.00 114.26 90.00
Space group C2/c (No. 15)
Inequivalent atoms, fractional coordinates:
Be 0.000 0.244 0.250 (multiplicity 4)
V 0.204 0.417 0.605 (multiplicity 8)
Hg 0.000 0.109 0.750 (multiplicity 4)
O 0.056 0.330 0.486 (multiplicity 8)
O 0.142 0.164 0.287 (multiplicity 8)
O 0.197 0.495 0.857 (multiplicity 8)